Compound: BaHoPuO6
Source: Alexandria via LeMat-Bulk
Functional: PBE-GGA
Structure: optimized geometry

a b c (Å): 5.8164 5.8164 11.1077
angles (deg): 90.00 90.00 120.00
Space group P-31c (No. 163)
Asymmetric unit:
Ba: 0.0000 0.0000 0.0000
Ho: 0.3333 0.6667 0.2500
Pu: 0.3333 0.6667 0.7500
O: 0.0307 0.3903 0.6502

Results
formation energy (no corrections) = -2.880 eV per atom